[1]
DFT (PBE) results for a relaxed structure of Pm6Ge2Te.

a = 8.769 Å, b = 8.769 Å, c = 8.769 Å
α = 112.98°, β = 112.44°, γ = 103.18°
Positions (direct):
Pm (0.038, 0.245, 0.793)
Pm (0.190, 0.276, 0.466)
Pm (0.190, 0.724, 0.913)
Pm (0.322, 0.029, 0.706)
Pm (0.322, 0.616, 0.294)
Pm (0.452, 0.245, 0.207)
Pm (0.548, 0.755, 0.793)
Pm (0.678, 0.384, 0.706)
Pm (0.678, 0.971, 0.294)
Pm (0.810, 0.276, 0.087)
Pm (0.810, 0.724, 0.534)
Pm (0.962, 0.755, 0.207)
Ge (0.119, 0.619, 0.500)
Ge (0.367, 0.000, 0.367)
Ge (0.633, 0.000, 0.633)
Ge (0.881, 0.381, 0.500)
Te (0.000, 0.000, 0.000)
Te (0.500, 0.500, 0.000)

Summary:
As for the uncorrected formation energy: -665 meV/atom. The calculation puts the total magnetization at 0.00 μB per cell. The value obtained for the density of states at the Fermi level is 9.0 states/eV/f.u. The value obtained for the total energy is -5.208 eV/atom.

***

[2]
DFT (PBE) results for a relaxed structure of Ac2In3Pd.

a = 4.135 Å, b = 4.945 Å, c = 8.664 Å
α = 90.00°, β = 90.00°, γ = 90.00°
Positions (direct):
Ac (0.000, 0.000, 0.000)
Ac (0.000, 0.500, 0.457)
In (0.500, 0.000, 0.631)
In (0.500, 0.500, 0.148)
In (0.500, 0.500, 0.809)
Pd (0.500, 0.000, 0.306)

Summary:
For the relative energy among the computed polymorphs, the calculation gives 0.003 eV/atom. The value obtained for the formation energy is -0.572 eV/atom. The calculation puts the total magnetization at 0.00 μB per cell. The value obtained for the density of states at the Fermi level is 4.6 states/eV/f.u. The value obtained for the total energy is -4.177 eV/atom.

***

[3]
DFT (PBE) results for a relaxed structure of Ba2ZrS3.

a = 4.286 Å, b = 5.023 Å, c = 16.261 Å
α = 90.00°, β = 90.00°, γ = 90.00°
Positions (direct):
Ba (0.000, 0.000, 0.145)
Ba (0.000, 0.000, 0.855)
Ba (0.500, 0.500, 0.355)
Ba (0.500, 0.500, 0.645)
Zr (0.000, 0.000, 0.500)
Zr (0.500, 0.500, 0.000)
S (0.000, 0.000, 0.342)
S (0.000, 0.000, 0.658)
S (0.000, 0.500, 0.500)
S (0.500, 0.000, 0.000)
S (0.500, 0.500, 0.158)
S (0.500, 0.500, 0.842)

Summary:
As for the uncorrected formation energy: -1734 meV/atom. The calculation puts the total magnetization at 0.00 μB per cell. The value obtained for the density of states at the Fermi level is 1.9 states/eV/f.u. The value obtained for the total energy is -5.864 eV/atom.

***

[4]
DFT (PBE) results for a relaxed structure of La3Y6HoTm2.

a = 6.239 Å, b = 6.239 Å, c = 11.893 Å
α = 95.02°, β = 95.02°, γ = 120.01°
Positions (direct):
La (0.000, 0.000, 0.000)
La (0.333, 0.667, 0.000)
La (0.667, 0.333, 0.000)
Y (0.086, 0.419, 0.257)
Y (0.247, 0.247, 0.744)
Y (0.419, 0.086, 0.257)
Y (0.581, 0.914, 0.743)
Y (0.753, 0.753, 0.256)
Y (0.914, 0.581, 0.743)
Ho (0.500, 0.500, 0.500)
Tm (0.167, 0.833, 0.500)
Tm (0.833, 0.167, 0.500)

Summary:
The value obtained for the formation energy is 0.025 eV/atom. The calculation puts the total magnetization at 0.00 μB per cell. The value obtained for the density of states at the Fermi level is 18.2 states/eV/f.u. The value obtained for the total energy is -5.565 eV/atom.